5
Lattice="-3.725 1.866 -2.118 -2.095 -4.178 0.002 -1.892 0.951 4.167" Properties=species:S:1:pos:R:3 comment="NaTa3Co (PBE, relaxed)" magmom_total_mub_per_cell=0.00 e_form_mev_per_atom=980 volume_a3_per_cell=102.10 polymorph_energy_mev_per_atom=0.0 dos_at_fermi_per_ev_cell=3.8 pbc="T T T"
Na -3.856 -0.681 1.025
Co 0.000 0.000 0.000
Ta -1.047 -2.089 0.001
Ta -0.946 0.475 2.083
Ta -1.863 0.933 -1.059

---

4
Lattice="-2.207 1.864 -2.856 0.914 -0.506 -3.926 -5.583 -6.176 -2.606" Properties=species:S:1:pos:R:3 comment="Ca2ZnHg (PBE, relaxed)" magmom_total_mub_per_cell=0.00 e_form_mev_per_atom=-219 volume_a3_per_cell=120.12 polymorph_energy_mev_per_atom=175.1 dos_at_fermi_per_ev_cell=3.2 pbc="T T T"
Ca -4.265 -4.480 -2.517
Ca -1.752 -1.247 -2.349
Zn -3.433 -2.402 -4.694
Hg -0.865 0.901 -4.522

---

5
Lattice="3.518 0.000 0.000 0.000 3.518 0.000 0.000 0.000 5.470" Properties=species:S:1:pos:R:3 comment="MnTeHN2 (PBE, relaxed)" magmom_total_mub_per_cell=0.00 volume_a3_per_cell=67.71 polymorph_energy_mev_per_atom=0.0 dos_at_fermi_per_ev_cell=3.1 pbc="T T T"
H 1.759 1.759 2.735
Te 0.000 0.000 2.735
Mn 0.000 0.000 0.000
N 0.000 1.759 0.000
N 1.759 0.000 0.000

---

8
Lattice="4.176 0.000 0.000 0.000 6.002 -0.835 0.000 -1.425 8.689" Properties=species:S:1:pos:R:3 comment="Ca2AlGe (PBE, relaxed)" magmom_total_mub_per_cell=0.00 e_form_mev_per_atom=-485 volume_a3_per_cell=212.80 dos_at_fermi_per_ev_cell=4.5 pbc="T T T"
Ca 3.132 3.693 3.169
Ca 1.044 0.883 4.684
Ca 1.044 4.677 -0.001
Ca 3.132 -0.100 7.855
Al 1.044 1.832 1.585
Al 3.132 2.745 6.268
Ge 3.132 0.488 2.355
Ge 1.044 4.089 5.499